DFT (PBE) results for an optimized crystal structure of CeDyP.

Properties
Calculated formation energy: -83 kJ per mole of atoms
Space-group type: P3m1

Unit cell a=6.523 b=3.887 c=3.887 alpha=120.00 beta=90.00 gamma=90.00
Each line ends with the local moment (μB).
Fractional coordinates of all 3 atoms:
1 Dy 0.252 0.333 0.667  0.30
2 P 0.004 0.000 0.000  -0.01
3 Ce 0.744 0.667 0.333  0.96

=====

DFT (PBE) results for an optimized crystal structure of Ce5Dy3P8.

Properties
Calculated formation energy: -149 kJ per mole of atoms
Space-group type: R-3m

Unit cell a=8.117 b=8.117 c=8.112 alpha=59.98 beta=59.98 gamma=60.00
Each line ends with the local moment (μB).
Fractional coordinates of all 16 atoms:
1 P 0.751 0.751 0.747  -0.01
2 Dy 0.500 0.000 0.500  0.01
3 Ce 0.000 0.000 0.000  0.48
4 P 0.753 0.250 0.747  -0.02
5 Ce 0.500 0.500 0.000  0.47
6 P 0.250 0.753 0.747  -0.02
7 P 0.247 0.750 0.253  -0.02
8 Ce 0.500 0.500 0.500  0.47
9 P 0.250 0.250 0.747  -0.02
10 P 0.750 0.750 0.253  -0.02
11 Dy 0.000 0.500 0.500  0.01
12 P 0.249 0.249 0.253  -0.01
13 Dy 0.000 0.000 0.500  0.01
14 Ce 0.000 0.500 0.000  0.47
15 P 0.750 0.247 0.253  -0.02
16 Ce 0.500 0.000 0.000  0.47

=====

DFT (PBE) results for an optimized crystal structure of Ce3DyP4.

Properties
Calculated formation energy: -147 kJ per mole of atoms
Space-group type: Pm-3m

Unit cell a=5.752 b=5.752 c=5.752 alpha=90.00 beta=90.00 gamma=90.00
Each line ends with the local moment (μB).
Fractional coordinates of all 8 atoms:
1 P 0.500 0.500 0.500  -0.03
2 P 0.500 0.000 0.000  -0.02
3 P 0.000 0.000 0.500  -0.02
4 Ce 0.500 0.500 0.000  0.46
5 P 0.000 0.500 0.000  -0.02
6 Ce 0.500 0.000 0.500  0.46
7 Dy 0.000 0.000 0.000  0.01
8 Ce 0.000 0.500 0.500  0.46

=====

DFT (PBE) results for an optimized crystal structure of CeDyP2.

Properties
Calculated formation energy: -151 kJ per mole of atoms
Space-group type: R-3m

Unit cell a=4.049 b=4.049 c=6.997 alpha=73.18 beta=73.18 gamma=60.00
Each line ends with the local moment (μB).
Fractional coordinates of all 4 atoms:
1 P 0.749 0.749 0.753  -0.01
2 P 0.251 0.251 0.247  -0.01
3 Dy 0.000 0.000 0.000  0.01
4 Ce 0.500 0.500 0.500  0.45